MgCdNi2C, optimized geometry, DFT PBE; symmetry = P4/mmm (123); E = -22.6 eV per formula unit; Fermi-level density of states = 2.47 states/eV/f.u.; DFT formation energy = 136 meV/atom
1.0
-1.676 0.282 -3.512
-3.854 -0.314 1.814
-0.139 3.881 0.378
Cd Mg Ni C
1 1 2 1
direct
0.500 0.500 0.500
0.000 0.500 0.000
0.000 0.000 0.500
0.500 0.000 0.000
0.000 0.000 0.000